#one
Below is crystalline KMg2Ni2 at its relaxed geometry, with properties calculated at the PBE level.

abc: 4.487 4.487 6.130
angles: 68.53 68.53 90.00
Sites, in units of the cell vectors:
Ni: 0.612 0.612 0.777
Ni: 0.388 0.388 0.223
Mg: 0.750 0.250 0.500
Mg: 0.250 0.750 0.500
K: 0.000 0.000 0.000

Results
M_tot = 0.00 μB/f.u.

=====

#two
Below is crystalline KMg2Ni2 at its relaxed geometry, with properties calculated at the PBE level.

abc: 8.053 8.053 2.873
angles: 90.00 90.00 90.00
Sites, in units of the cell vectors:
Mg: 0.364 0.136 0.500
Mg: 0.636 0.864 0.500
Mg: 0.864 0.364 0.500
Mg: 0.136 0.636 0.500
Ni: 0.852 0.648 0.000
Ni: 0.648 0.148 0.000
Ni: 0.148 0.352 0.000
Ni: 0.352 0.852 0.000
K: 0.500 0.500 0.000
K: 0.000 0.000 0.000

Results
M_tot = 0.00 μB/f.u.

=====

Stability verdict: #two, ahead by 70 meV per atom

=====

#one
Below is crystalline KMgP2O at its relaxed geometry, with properties calculated at the PBE level.

abc: 5.373 5.373 4.445
angles: 90.00 90.00 90.00
Site moments in Bohr magnetons follow the coordinates.
Sites, in units of the cell vectors:
P: 0.500 0.000 0.000  0.36
P: 0.000 0.500 0.000  0.36
K: 0.000 0.000 0.000  0.06
Mg: 0.500 0.500 0.500  -0.01
O: 0.000 0.000 0.500  0.91

Results
M_tot = 2.70 μB/f.u.

=====

#two
Below is crystalline KMgP2O at its relaxed geometry, with properties calculated at the PBE level.

abc: 5.309 5.309 3.802
angles: 90.00 90.00 90.00
Site moments in Bohr magnetons follow the coordinates.
Sites, in units of the cell vectors:
Mg: 0.000 0.000 0.000  0.00
P: 0.000 0.500 0.000  0.09
P: 0.500 0.000 0.000  0.09
O: 0.000 0.000 0.500  0.29
K: 0.500 0.500 0.500  0.00

Results
M_tot = 0.75 μB/f.u.

=====

Stability verdict: #two, ahead by 1166 meV per atom

=====

#one
Below is crystalline KMgPO2 at its relaxed geometry, with properties calculated at the PBE level.

abc: 4.510 4.510 6.067
angles: 90.00 90.00 90.00
Site moments in Bohr magnetons follow the coordinates.
Sites, in units of the cell vectors:
P: 0.000 0.000 0.500  0.65
K: 0.000 0.000 0.000  0.10
O: 0.500 0.000 0.000  1.02
O: 0.000 0.500 0.000  1.02
Mg: 0.500 0.500 0.500  -0.02

Results
M_tot = 4.01 μB/f.u.

=====

#two
Below is crystalline KMgPO2 at its relaxed geometry, with properties calculated at the PBE level.

abc: 4.240 4.240 5.196
angles: 90.00 90.00 90.00
Site moments in Bohr magnetons follow the coordinates.
Sites, in units of the cell vectors:
K: 0.500 0.500 0.500  0.05
P: 0.000 0.000 0.500  0.96
O: 0.000 0.500 0.000  0.77
O: 0.500 0.000 0.000  0.77
Mg: 0.000 0.000 0.000  -0.01

Results
M_tot = 4.01 μB/f.u.

=====

Stability verdict: #two, ahead by 1139 meV per atom

=====

#one
Below is crystalline KRbMg6O7 at its relaxed geometry, with properties calculated at the PBE level.

abc: 4.930 4.930 8.024
angles: 90.00 90.00 90.00
Sites, in units of the cell vectors:
Mg: 0.500 0.000 0.750
Mg: 0.500 0.500 0.508
Mg: 0.000 0.500 0.750
Mg: 0.000 0.500 0.253
Mg: 0.500 0.500 0.001
Mg: 0.500 0.000 0.253
O: 0.000 0.500 0.495
O: 0.500 0.500 0.755
O: 0.000 0.500 0.014
O: 0.000 0.000 0.739
O: 0.500 0.500 0.255
O: 0.500 0.000 0.014
O: 0.500 0.000 0.495
K: 0.000 0.000 0.022
Rb: 0.000 0.000 0.443

Results
M_tot = 0.02 μB/f.u.

=====

#two
Below is crystalline KRbMg6O7 at its relaxed geometry, with properties calculated at the PBE level.

abc: 4.145 4.145 14.545
angles: 90.00 90.00 90.00
Site moments in Bohr magnetons follow the coordinates.
Sites, in units of the cell vectors:
Mg: 0.500 0.500 0.393  0.00
Mg: 0.000 0.500 0.763  0.00
Mg: 0.500 0.500 0.094  0.00
Mg: 0.500 0.000 0.244  0.00
Mg: 0.500 0.000 0.763  0.00
Mg: 0.000 0.500 0.244  0.00
O: 0.500 0.000 0.386  0.07
O: 0.000 0.500 0.386  0.07
O: 0.500 0.500 0.756  0.00
O: 0.500 0.000 0.103  0.07
O: 0.000 0.000 0.770  0.00
O: 0.000 0.500 0.103  0.07
O: 0.000 0.000 0.244  0.16
Rb: 0.000 0.000 0.501  0.00
K: 0.000 0.000 0.003  0.00

Results
M_tot = 0.60 μB/f.u.

=====

#three
Below is crystalline KRbMg6O7 at its relaxed geometry, with properties calculated at the PBE level.

abc: 4.310 4.310 11.415
angles: 90.00 90.00 90.00
Site moments in Bohr magnetons follow the coordinates.
Sites, in units of the cell vectors:
O: 0.500 0.000 0.109  0.24
O: 0.000 0.000 0.311  0.00
O: 0.500 0.000 0.493  0.01
O: 0.000 0.500 0.493  0.01
O: 0.500 0.500 0.684  0.00
O: 0.000 0.500 0.109  0.24
O: 0.000 0.000 0.688  0.00
Mg: 0.500 0.000 0.675  0.00
Mg: 0.500 0.500 0.500  0.01
Mg: 0.000 0.500 0.272  0.01
Mg: 0.000 0.500 0.675  0.00
Mg: 0.000 0.000 0.484  0.00
Mg: 0.500 0.000 0.272  0.01
K: 0.000 0.000 0.007  0.00
Rb: 0.500 0.500 0.981  0.00

Results
M_tot = 0.79 μB/f.u.

=====

Stability verdict: #three, ahead by 81 meV per atom